Entry 1:
Compound: TaAlFeNi
Source: OQMD
Functional: PBE
Structure: optimized geometry

```
data_TaAlFeNi
_chemical_formula_sum 'Ta4 Al4 Fe4 Ni4'
_symmetry_space_group_name_H-M 'P 1'
_symmetry_Int_Tables_number 1
_symmetry_space_group_name_Hall 'P 1'
_cell_length_a 6.029
_cell_length_b 6.029
_cell_length_c 6.029
_cell_angle_alpha 90.00
_cell_angle_beta 90.00
_cell_angle_gamma 90.00
loop_
_atom_site_label
_atom_site_type_symbol
_atom_site_fract_x
_atom_site_fract_y
_atom_site_fract_z
Ta1 Ta 0.000 0.000 0.000
Ta2 Ta 0.000 0.500 0.500
Ta3 Ta 0.500 0.000 0.500
Ta4 Ta 0.500 0.500 0.000
Al1 Al 0.250 0.250 0.250
Al2 Al 0.250 0.750 0.750
Al3 Al 0.750 0.250 0.750
Al4 Al 0.750 0.750 0.250
Fe1 Fe 0.000 0.000 0.500
Fe2 Fe 0.000 0.500 0.000
Fe3 Fe 0.500 0.000 0.000
Fe4 Fe 0.500 0.500 0.500
Ni1 Ni 0.250 0.250 0.750
Ni2 Ni 0.250 0.750 0.250
Ni3 Ni 0.750 0.250 0.250
Ni4 Ni 0.750 0.750 0.750
```

Summary:
- excess energy over the best structure of this formula in the dataset (meV per atom) = 353

Entry 2:
Compound: ReAg2Ir
Source: OQMD
Functional: PBE
Structure: optimized geometry

```
data_ReAg2Ir
_chemical_formula_sum 'Re4 Ag8 Ir4'
_symmetry_space_group_name_H-M 'P 1'
_symmetry_Int_Tables_number 1
_symmetry_space_group_name_Hall 'P 1'
_cell_length_a 6.329
_cell_length_b 6.329
_cell_length_c 6.329
_cell_angle_alpha 90.00
_cell_angle_beta 90.00
_cell_angle_gamma 90.00
loop_
_atom_site_label
_atom_site_type_symbol
_atom_site_fract_x
_atom_site_fract_y
_atom_site_fract_z
Re1 Re 0.000 0.000 0.000
Re2 Re 0.000 0.500 0.500
Re3 Re 0.500 0.000 0.500
Re4 Re 0.500 0.500 0.000
Ag1 Ag 0.000 0.000 0.500
Ag2 Ag 0.000 0.500 0.000
Ag3 Ag 0.250 0.250 0.750
Ag4 Ag 0.250 0.750 0.250
Ag5 Ag 0.500 0.000 0.000
Ag6 Ag 0.500 0.500 0.500
Ag7 Ag 0.750 0.250 0.250
Ag8 Ag 0.750 0.750 0.750
Ir1 Ir 0.250 0.250 0.250
Ir2 Ir 0.250 0.750 0.750
Ir3 Ir 0.750 0.250 0.750
Ir4 Ir 0.750 0.750 0.250
```

Summary:
- ΔE_f (meV per atom) = 660

Q: Which formula does entry 1 have?
A: TaAlFeNi

Please write out number 1 again, unchanged.
Compound: TaAlFeNi
Source: OQMD
Functional: PBE
Structure: optimized geometry

```
data_TaAlFeNi
_chemical_formula_sum 'Ta4 Al4 Fe4 Ni4'
_symmetry_space_group_name_H-M 'P 1'
_symmetry_Int_Tables_number 1
_symmetry_space_group_name_Hall 'P 1'
_cell_length_a 6.029
_cell_length_b 6.029
_cell_length_c 6.029
_cell_angle_alpha 90.00
_cell_angle_beta 90.00
_cell_angle_gamma 90.00
loop_
_atom_site_label
_atom_site_type_symbol
_atom_site_fract_x
_atom_site_fract_y
_atom_site_fract_z
Ta1 Ta 0.000 0.000 0.000
Ta2 Ta 0.000 0.500 0.500
Ta3 Ta 0.500 0.000 0.500
Ta4 Ta 0.500 0.500 0.000
Al1 Al 0.250 0.250 0.250
Al2 Al 0.250 0.750 0.750
Al3 Al 0.750 0.250 0.750
Al4 Al 0.750 0.750 0.250
Fe1 Fe 0.000 0.000 0.500
Fe2 Fe 0.000 0.500 0.000
Fe3 Fe 0.500 0.000 0.000
Fe4 Fe 0.500 0.500 0.500
Ni1 Ni 0.250 0.250 0.750
Ni2 Ni 0.250 0.750 0.250
Ni3 Ni 0.750 0.250 0.250
Ni4 Ni 0.750 0.750 0.750
```

Summary:
- excess energy over the best structure of this formula in the dataset (meV per atom) = 353